Material: NaHf2O
Method: DFT, meta-GGA SCAN
State: PBEsol geometry

Computed properties:
**Total DFT energy (no corrections)**: -276.97 eV per cell
**Magnetic moment**: 0.0 μB per formula unit

Cell lengths 6.1366, 6.1366, 6.1366 Å; angles 98.53, 115.21, 115.21 degrees
Element x y z (fractional)
Na 0.0000 0.0000 0.0000
Na 0.5000 0.7500 0.2500
Hf 0.8506 0.4756 0.1250
Hf 0.1494 0.2744 0.6250
Hf 0.6494 0.3750 0.5244
Hf 0.3506 0.8750 0.7256
O 0.0000 0.5000 0.5000
O 0.5000 0.2500 0.7500

=====

Material: NaHf3O
Method: DFT, meta-GGA SCAN
State: PBEsol geometry

Computed properties:
**Total DFT energy (no corrections)**: -201.39 eV per cell
**Magnetic moment**: 0.0 μB per formula unit

Cell lengths 4.4463, 4.4463, 4.4463 Å; angles 90.00, 90.00, 90.00 degrees
Element x y z (fractional)
Na 0.5000 0.5000 0.5000
Hf 0.0000 0.5000 0.0000
Hf 0.0000 0.0000 0.5000
Hf 0.5000 0.0000 0.0000
O 0.0000 0.0000 0.0000

=====

Material: NaHfSi2O
Method: DFT, meta-GGA SCAN
State: PBEsol geometry

Computed properties:
**Total DFT energy (no corrections)**: -94.88 eV per cell
**Magnetic moment**: 0.0 μB per formula unit

Cell lengths 3.9081, 5.3728, 5.3728 Å; angles 90.00, 90.00, 90.00 degrees
Element x y z (fractional)
Na 0.5000 0.5000 0.5000
Si 0.0000 0.0000 0.5000
Si 0.0000 0.5000 0.0000
Hf 0.0000 0.0000 0.0000
O 0.5000 0.0000 0.0000

=====

Material: Na2HfOs
Method: DFT, meta-GGA SCAN
State: PBEsol geometry

Computed properties:
**Magnetic moment**: 0.0 μB per formula unit
**Formation energy from the elements**: 1.2670 eV/atom

Cell lengths 4.6728, 4.6728, 4.6728 Å; angles 60.00, 60.00, 60.00 degrees
Element x y z (fractional)
Hf 0.0000 0.0000 0.0000
Os 0.5000 0.5000 0.5000
Na 0.2500 0.2500 0.2500
Na 0.7500 0.7500 0.7500

=====

Material: Na3HfOs
Method: DFT, meta-GGA SCAN
State: PBEsol geometry

Computed properties:
**Magnetic moment**: 2.4 μB per formula unit
**Formation energy from the elements**: 2.0115 eV/atom

Cell lengths 5.1824, 5.1824, 5.1824 Å; angles 90.00, 90.00, 90.00 degrees
Element x y z (fractional)
Hf 0.5000 0.5000 0.5000
Os 0.0000 0.0000 0.0000
Na 0.0000 0.5000 0.0000
Na 0.0000 0.0000 0.5000
Na 0.5000 0.0000 0.0000

=====

Material: NaHf2TcPt
Method: DFT, meta-GGA SCAN
State: PBEsol geometry

Computed properties:
**Magnetic moment**: 1.5 μB per formula unit
**Formation energy from the elements**: 0.7881 eV/atom

Cell lengths 4.7221, 4.9553, 4.9553 Å; angles 90.00, 90.00, 90.00 degrees
Element x y z (fractional)
Na 0.5000 0.0000 0.0000
Hf 0.0000 0.0000 0.5000
Hf 0.0000 0.5000 0.0000
Tc 0.5000 0.5000 0.5000
Pt 0.0000 0.0000 0.0000

=====

Material: NaHfRe3
Method: DFT, meta-GGA SCAN
State: PBEsol geometry

Computed properties:
**Energy above the lowest structure with this stoichiometry**: 0.0 meV per atom
**Magnetic moment**: 3.2 μB per formula unit
**Formation energy from the elements**: 2.4011 eV/atom

Cell lengths 4.7950, 4.7950, 4.7950 Å; angles 90.00, 90.00, 90.00 degrees
Element x y z (fractional)
Re 0.0000 0.5000 0.0000
Re 0.0000 0.0000 0.5000
Re 0.5000 0.0000 0.0000
Hf 0.0000 0.0000 0.0000
Na 0.5000 0.5000 0.5000

=====

Material: Na3HfRe
Method: DFT, meta-GGA SCAN
State: PBEsol geometry

Computed properties:
**Magnetic moment**: 1.0 μB per formula unit
**Formation energy from the elements**: 2.1850 eV/atom

Cell lengths 5.2983, 5.2983, 5.2983 Å; angles 90.00, 90.00, 90.00 degrees
Element x y z (fractional)
Re 0.0000 0.0000 0.0000
Hf 0.5000 0.5000 0.5000
Na 0.0000 0.5000 0.0000
Na 0.0000 0.0000 0.5000
Na 0.5000 0.0000 0.0000

=====

Among the records above, which one has the highest magnetic moment? NaHfRe3